First-principles (PBE+U) data for PmWO5 after structural relaxation, as listed in Alexandria via LeMat-Bulk.

- Energy relative to the lowest polymorph listed for this composition: 34 meV per atom
- ρ: 6.1 Mg/m³

Cell: 3.9061 6.7329 8.4268 Å, 90.00 90.00 90.00°
Space group Immm (No. 71)
Inequivalent atoms, fractional coordinates:
Pm1 0.0000 0.0000 0.0000 (multiplicity 2)
W1 0.0000 0.0000 0.5000 (multiplicity 2)
O1 0.0000 0.0000 0.2740 (multiplicity 4)
O2 0.0000 0.2895 0.5000 (multiplicity 4)
O3 0.0000 0.5000 0.0000 (multiplicity 2)